1.
Compound: Tb6CeNd2Tm3
Source: the Alexandria database
Functional: PBE-GGA
Structure: optimized geometry

Summary:
As for the total energy: -4.68 eV/atom. As for the crystal system: monoclinic. The formation energy is 0.042 eV per atom. The value obtained for the density of states at the Fermi level is 20.235 states/eV/f.u. The symmetry is C2/m, No. 12.

CIF file:
```
data_Tb6CeNd2Tm3
_chemical_formula_sum 'Tb6 Ce1 Nd2 Tm3'
_cell_length_a 6.1720
_cell_length_b 6.1720
_cell_length_c 11.7981
_cell_angle_alpha 95.01
_cell_angle_beta 95.01
_cell_angle_gamma 120.00
_symmetry_space_group_name_H-M 'P 1'
_symmetry_Int_Tables_number 1
_symmetry_space_group_name_Hall 'P 1'
loop_
_atom_site_label
_atom_site_type_symbol
_atom_site_fract_x
_atom_site_fract_y
_atom_site_fract_z
Tb1 Tb 0.7537 0.7537 0.2541
Tb2 Tb 0.4154 0.0846 0.2537
Tb3 Tb 0.5846 0.9154 0.7463
Tb4 Tb 0.2463 0.2463 0.7459
Tb5 Tb 0.9154 0.5846 0.7463
Tb6 Tb 0.0846 0.4154 0.2537
Tm1 Tm 0.5000 0.5000 0.5000
Tm2 Tm 0.8331 0.1669 0.5000
Tm3 Tm 0.1669 0.8331 0.5000
Ce1 Ce 0.0000 0.0000 0.0000
Nd1 Nd 0.3335 0.6665 0.0000
Nd2 Nd 0.6665 0.3335 0.0000
```



2.
Compound: LaCdGe4
Source: the Alexandria database
Functional: PBE-GGA
Structure: optimized geometry

Summary:
As for the total energy: -4.28 eV/atom. As for the crystal system: cubic. The formation energy is -0.232 eV per atom. The value obtained for the density of states at the Fermi level is 1.913 states/eV/f.u. The symmetry is F-43m, No. 216.

CIF file:
```
data_LaCdGe4
_chemical_formula_sum 'La1 Cd1 Ge4'
_cell_length_a 5.7061
_cell_length_b 5.7061
_cell_length_c 5.7061
_cell_angle_alpha 60.00
_cell_angle_beta 60.00
_cell_angle_gamma 60.00
_symmetry_space_group_name_H-M 'P 1'
_symmetry_Int_Tables_number 1
_symmetry_space_group_name_Hall 'P 1'
loop_
_atom_site_label
_atom_site_type_symbol
_atom_site_fract_x
_atom_site_fract_y
_atom_site_fract_z
Ge1 Ge 0.1263 0.6246 0.6246
Ge2 Ge 0.6246 0.6246 0.6246
Ge3 Ge 0.6246 0.6246 0.1263
Ge4 Ge 0.6246 0.1263 0.6246
La1 La 0.2500 0.2500 0.2500
Cd1 Cd 0.0000 0.0000 0.0000
```



3.
Compound: LaPbAu
Source: the Alexandria database
Functional: PBE-GGA
Structure: optimized geometry

Summary:
As for the total energy: -4.67 eV/atom. As for the crystal system: orthorhombic. The formation energy is -0.699 eV per atom. The value obtained for the density of states at the Fermi level is 1.032 states/eV/f.u. The symmetry is Cmcm, No. 63.

CIF file:
```
data_LaPbAu
_chemical_formula_sum 'La2 Pb2 Au2'
_cell_length_a 5.4111
_cell_length_b 5.4112
_cell_length_c 6.7322
_cell_angle_alpha 90.00
_cell_angle_beta 90.00
_cell_angle_gamma 123.46
_symmetry_space_group_name_H-M 'P 1'
_symmetry_Int_Tables_number 1
_symmetry_space_group_name_Hall 'P 1'
loop_
_atom_site_label
_atom_site_type_symbol
_atom_site_fract_x
_atom_site_fract_y
_atom_site_fract_z
Pb1 Pb 0.4053 0.6309 0.7929
Pb2 Pb 0.4053 0.6308 0.2929
Au1 Au 0.0492 0.9870 0.5428
Au2 Au 0.7612 0.2749 0.0427
La1 La 0.0838 0.9524 0.0428
La2 La 0.7267 0.3095 0.5428
```



Which of these has the lowest total energy?
Tb6CeNd2Tm3



Which of these has the highest total energy?
LaCdGe4



Repeat the third record exactly.
Compound: LaPbAu
Source: the Alexandria database
Functional: PBE-GGA
Structure: optimized geometry

Summary:
As for the total energy: -4.67 eV/atom. As for the crystal system: orthorhombic. The formation energy is -0.699 eV per atom. The value obtained for the density of states at the Fermi level is 1.032 states/eV/f.u. The symmetry is Cmcm, No. 63.

CIF file:
```
data_LaPbAu
_chemical_formula_sum 'La2 Pb2 Au2'
_cell_length_a 5.4111
_cell_length_b 5.4112
_cell_length_c 6.7322
_cell_angle_alpha 90.00
_cell_angle_beta 90.00
_cell_angle_gamma 123.46
_symmetry_space_group_name_H-M 'P 1'
_symmetry_Int_Tables_number 1
_symmetry_space_group_name_Hall 'P 1'
loop_
_atom_site_label
_atom_site_type_symbol
_atom_site_fract_x
_atom_site_fract_y
_atom_site_fract_z
Pb1 Pb 0.4053 0.6309 0.7929
Pb2 Pb 0.4053 0.6308 0.2929
Au1 Au 0.0492 0.9870 0.5428
Au2 Au 0.7612 0.2749 0.0427
La1 La 0.0838 0.9524 0.0428
La2 La 0.7267 0.3095 0.5428
```



total energy of number 1 (Tb6CeNd2Tm3)?
-4.68 eV/atom